4
Lattice="5.153 0.000 0.000 2.577 4.463 0.000 2.577 1.488 4.208" Properties=species:S:1:pos:R:3 comment="PmHoInRh (GGA-PBE, relaxed)" total_magnetization_mub_per_fu=0.00 total_energy_ev_per_cell=-21.46 spacegroup="No. 216" formation_enthalpy_0k_kcal_per_mol_atoms=-11.80 pbc="T T T"
Rh 0.000 0.000 0.000
Pm 2.577 1.488 1.052
Ho 7.730 4.463 3.156
In 5.153 2.975 2.104